VASP calculation (GGA-PBE) on a geometry-optimized HgMo2Cl structure.

a b c (Å): 4.581 4.581 4.581
angles (deg): 60.00 60.00 60.00
Sites, in units of the cell vectors:
Hg 0.000 0.000 0.000
Mo 0.250 0.250 0.250
Mo 0.750 0.750 0.750
Cl 0.500 0.500 0.500

Computed properties:
Its energy is -19.66 eV per cell. The calculation puts the excess energy over the best structure of this formula in the dataset at 961 meV/atom. As for the formation energy (no corrections): 100 kJ/mol of atoms.

***

VASP calculation (GGA-PBE) on a geometry-optimized HgMoCl2 structure.

a b c (Å): 3.756 3.778 7.043
angles (deg): 90.00 90.00 90.00
Sites, in units of the cell vectors:
Hg 0.000 0.000 0.000
Mo 0.500 0.500 0.174
Cl 0.000 0.000 0.422
Cl 0.500 0.500 0.820

Computed properties:
Its energy is -13.54 eV per cell. The calculation puts the excess energy over the best structure of this formula in the dataset at 627 meV/atom. As for the formation energy (no corrections): 31 kJ/mol of atoms.

***

VASP calculation (GGA-PBE) on a geometry-optimized Hg2MoCl6 structure.

a b c (Å): 7.142 7.125 12.085
angles (deg): 90.00 119.03 90.00
Sites, in units of the cell vectors:
Hg 0.138 0.165 0.172
Hg 0.138 0.335 0.672
Hg 0.862 0.665 0.328
Hg 0.862 0.835 0.828
Mo 0.500 0.000 0.000
Mo 0.500 0.500 0.500
Cl 0.173 0.168 0.926
Cl 0.173 0.332 0.426
Cl 0.302 0.720 0.936
Cl 0.302 0.780 0.436
Cl 0.476 0.030 0.798
Cl 0.476 0.470 0.298
Cl 0.524 0.530 0.702
Cl 0.524 0.970 0.202
Cl 0.698 0.220 0.564
Cl 0.698 0.280 0.064
Cl 0.827 0.668 0.574
Cl 0.827 0.832 0.074

Computed properties:
Its energy is -56.23 eV per cell. As for the formation energy (no corrections): -60 kJ/mol of atoms.

***

VASP calculation (GGA-PBE) on a geometry-optimized HgMo2Cl structure.

a b c (Å): 3.148 3.148 8.195
angles (deg): 90.00 90.00 90.00
Sites, in units of the cell vectors:
Hg 0.000 0.000 0.000
Mo 0.000 0.000 0.416
Mo 0.500 0.500 0.250
Cl 0.500 0.500 0.635

Computed properties:
Its energy is -22.75 eV per cell. The calculation puts the excess energy over the best structure of this formula in the dataset at 189 meV/atom. As for the formation energy (no corrections): 26 kJ/mol of atoms.

***

VASP calculation (GGA-PBE) on a geometry-optimized HgMo2Cl structure.

a b c (Å): 2.987 4.438 5.726
angles (deg): 90.00 105.02 90.00
Sites, in units of the cell vectors:
Hg 0.000 0.000 0.000
Mo 0.256 0.000 0.508
Mo 0.664 0.500 0.326
Cl 0.333 0.500 0.669

Computed properties:
Its energy is -21.68 eV per cell. The calculation puts the excess energy over the best structure of this formula in the dataset at 456 meV/atom. As for the formation energy (no corrections): 51 kJ/mol of atoms.

***

VASP calculation (GGA-PBE) on a geometry-optimized HgMoCl structure.

a b c (Å): 8.518 8.188 3.161
angles (deg): 85.03 73.27 21.70
Sites, in units of the cell vectors:
Hg 0.000 0.000 0.000
Mo 0.346 0.346 0.654
Cl 0.730 0.730 0.270

Computed properties:
Its energy is -12.12 eV per cell. The calculation puts the excess energy over the best structure of this formula in the dataset at 198 meV/atom. As for the formation energy (no corrections): 28 kJ/mol of atoms.

***

The lowest formation energy (no corrections) belongs to which entry? Hg2MoCl6

***

Please write out number 5 again, unchanged.
VASP calculation (GGA-PBE) on a geometry-optimized HgMo2Cl structure.

a b c (Å): 2.987 4.438 5.726
angles (deg): 90.00 105.02 90.00
Sites, in units of the cell vectors:
Hg 0.000 0.000 0.000
Mo 0.256 0.000 0.508
Mo 0.664 0.500 0.326
Cl 0.333 0.500 0.669

Computed properties:
Its energy is -21.68 eV per cell. The calculation puts the excess energy over the best structure of this formula in the dataset at 456 meV/atom. As for the formation energy (no corrections): 51 kJ/mol of atoms.